(1)
DFT (PBE) results for a geometry-optimized ReAsAu2 structure.

a b c (Å): 4.5706 2.7373 5.7091
angles (deg): 75.75 90.00 90.00
With the nearest neighbours (Å) after each atom.
Sites, in units of the cell vectors:
Re1 0.0000 0.6740 0.5189  2 As 2.54, 2 Re 2.74
As1 0.5000 0.5943 0.7176  2 Re 2.54, 2 As 2.74
Au1 0.0000 0.9270 0.0041  6 Au 2.74-3.03, 3 Re 2.85-3.02
Au2 0.5000 0.3047 0.2594  6 Au 2.74-3.03, 3 As 2.85-3.00, 4 Re 3.02-3.03

Results
symmetry = Pm (6)
calculated total energy = -5.45 eV/atom
DFT formation energy = 458 meV per atom
volume = 69.23 Å³ per cell

=====

(2)
DFT (PBE) results for a geometry-optimized KBaSr structure.

a b c (Å): 4.4093 4.4093 11.2482
angles (deg): 90.00 90.00 120.00
With the nearest neighbours (Å) after each atom.
Sites, in units of the cell vectors:
Sr1 0.3333 0.6667 0.6753  3 Ba 4.35, 6 Sr 4.41, 3 K 4.59
K1 0.6667 0.3333 0.3362  6 K 4.41, 3 Sr 4.59, 3 Ba 4.67
Ba1 0.0000 0.0000 0.9885  3 Sr 4.35, 6 Ba 4.41, 3 K 4.67

Results
symmetry = P3m1 (156)
calculated total energy = -1.51 eV/atom
distance to the lowest polymorph of the same formula = 0.000 eV/f.u.
DFT formation energy = 60 meV per atom
volume = 189.39 Å³ per cell

=====

(3)
DFT (PBE) results for a geometry-optimized ReRhSe2 structure.

a b c (Å): 3.1449 3.1449 6.3276
angles (deg): 90.00 90.00 90.00
With the nearest neighbours (Å) after each atom.
Sites, in units of the cell vectors:
Re1 0.5000 0.5000 0.2500  8 Se 2.71
Rh1 0.5000 0.5000 0.7500  8 Se 2.75
Se1 0.0000 0.0000 0.0065  4 Re 2.71, 4 Rh 2.75
Se2 0.0000 0.0000 0.4935  4 Re 2.71, 4 Rh 2.75

Results
symmetry = P4/mmm (123)
ΔE_f (raw) = 107 kJ/mol of formula units
calculated total energy = -6.42 eV/atom
distance to the lowest polymorph of the same formula = 0.985 eV/f.u.
volume = 62.58 Å³ per cell

=====

(4)
DFT (PBE) results for a geometry-optimized Sm2Hg17 structure.

a b c (Å): 9.3605 9.3605 9.3605
angles (deg): 55.58 55.58 55.58
With the nearest neighbours (Å) after each atom.
Sites, in units of the cell vectors:
Sm1 0.7367 0.7367 0.7367  12 Hg 3.33-3.40
Sm2 0.2633 0.2633 0.2633  12 Hg 3.33-3.40
Hg1 0.4307 0.4307 0.8013  8 Hg 3.13-3.24, 1 Sm 3.33
Hg2 0.4307 0.8013 0.4307  8 Hg 3.13-3.24, 1 Sm 3.33
Hg3 0.0846 0.0846 0.0846  9 Hg 3.18-3.48
Hg4 0.9154 0.9154 0.9154  9 Hg 3.18-3.48
Hg5 0.0000 0.0000 0.5000  6 Hg 3.17-3.18, 2 Sm 3.40
Hg6 0.5000 0.0000 0.0000  6 Hg 3.17-3.18, 2 Sm 3.40
Hg7 0.0000 0.5000 0.0000  6 Hg 3.17-3.18, 2 Sm 3.40
Hg8 0.3263 0.6737 0.0000  5 Hg 2.85-3.13
Hg9 0.0000 0.3263 0.6737  5 Hg 2.85-3.13
Hg10 0.6737 0.0000 0.3263  5 Hg 2.85-3.13
Hg11 0.6737 0.3263 0.0000  5 Hg 2.85-3.13
Hg12 0.0000 0.6737 0.3263  5 Hg 2.85-3.13
Hg13 0.3263 0.0000 0.6737  5 Hg 2.85-3.13
Hg14 0.5693 0.1987 0.5693  8 Hg 3.13-3.24, 1 Sm 3.33
Hg15 0.5693 0.5693 0.1987  8 Hg 3.13-3.24, 1 Sm 3.33
Hg16 0.1987 0.5693 0.5693  8 Hg 3.13-3.24, 1 Sm 3.33
Hg17 0.8013 0.4307 0.4307  8 Hg 3.13-3.24, 1 Sm 3.33

Results
symmetry = R-3m (166)
calculated total energy = -0.86 eV/atom
DFT formation energy = -90 meV per atom
volume = 520.48 Å³ per cell

=====

(5)
DFT (PBE) results for a geometry-optimized PrPuBiPb structure.

a b c (Å): 5.5696 5.5696 5.5696
angles (deg): 60.00 60.00 60.00
With the nearest neighbours (Å) after each atom.
Sites, in units of the cell vectors:
Pb1 0.2500 0.2500 0.2500  4 Pr 3.41, 4 Pu 3.41
Pr1 0.5000 0.5000 0.5000  4 Pb 3.41, 4 Bi 3.41
Bi1 0.7500 0.7500 0.7500  4 Pu 3.41, 4 Pr 3.41
Pu1 0.0000 0.0000 0.0000  4 Bi 3.41, 4 Pb 3.41

Results
symmetry = F-43m (216)
calculated total energy = -7.02 eV/atom
DFT formation energy = -344 meV per atom
volume = 122.17 Å³ per cell

=====

(6)
DFT (PBE) results for a geometry-optimized ThNi structure.

a b c (Å): 4.2764 5.7264 14.1360
angles (deg): 90.00 90.00 90.00
With the nearest neighbours (Å) after each atom.
Sites, in units of the cell vectors:
Th1 0.2500 0.5404 0.2841  7 Ni 2.91-3.08
Th2 0.7500 0.4596 0.7159  7 Ni 2.91-3.08
Th3 0.2500 0.9596 0.7841  7 Ni 2.91-3.08
Th4 0.2500 0.7521 0.5349  7 Ni 2.90-3.08
Th5 0.2500 0.7479 0.0349  7 Ni 2.90-3.08
Th6 0.7500 0.2521 0.9651  7 Ni 2.90-3.08
Th7 0.7500 0.0404 0.2159  7 Ni 2.91-3.08
Th8 0.7500 0.2479 0.4651  7 Ni 2.90-3.08
Ni1 0.2500 0.0327 0.3558  2 Ni 2.71, 6 Th 2.91-3.00
Ni2 0.7500 0.5327 0.1442  2 Ni 2.71, 6 Th 2.91-3.00
Ni3 0.7500 0.7580 0.3961  2 Ni 2.71, 6 Th 2.90-3.02
Ni4 0.2500 0.4673 0.8558  2 Ni 2.71, 6 Th 2.91-3.00
Ni5 0.7500 0.9673 0.6442  2 Ni 2.71, 6 Th 2.91-3.00
Ni6 0.7500 0.7420 0.8961  2 Ni 2.71, 6 Th 2.90-3.02
Ni7 0.2500 0.2580 0.1039  2 Ni 2.71, 6 Th 2.90-3.02
Ni8 0.2500 0.2420 0.6039  2 Ni 2.71, 6 Th 2.90-3.02

Results
symmetry = Pnma (62)
calculated total energy = -7.03 eV/atom
DFT formation energy = -428 meV per atom
volume = 346.17 Å³ per cell

=====

(7)
DFT (PBE) results for a geometry-optimized FeMo2P structure.

a b c (Å): 4.2260 4.2260 4.2260
angles (deg): 60.00 60.00 60.00
With the nearest neighbours (Å) after each atom.
Sites, in units of the cell vectors:
Fe1 0.5000 0.5000 0.5000  4 P 2.59, 4 Mo 2.59
Mo1 0.0000 0.0000 0.0000  4 Mo 2.59, 4 P 2.59
Mo2 0.2500 0.2500 0.2500  4 Fe 2.59, 4 Mo 2.59
P1 0.7500 0.7500 0.7500  4 Fe 2.59, 4 Mo 2.59

Results
symmetry = F-43m (216)
calculated total energy = -8.72 eV/atom
DFT formation energy = 159 meV per atom
volume = 53.37 Å³ per cell

=====

(8)
DFT (PBE) results for a geometry-optimized Ta2BeSi structure.

a b c (Å): 3.7379 2.8300 5.8838
angles (deg): 71.07 90.00 90.00
With the nearest neighbours (Å) after each atom.
Sites, in units of the cell vectors:
Be1 0.5000 0.2500 0.2500  8 Ta 2.62-2.82, 2 Si 2.82, 2 Be 2.83
Si1 0.5000 0.7500 0.7500  8 Ta 2.61-2.88, 2 Be 2.82, 2 Si 2.83
Ta1 0.0000 0.9857 0.0040  4 Si 2.61-2.88, 4 Be 2.62-2.82, 4 Ta 2.77-2.88
Ta2 0.0000 0.5143 0.4960  4 Si 2.61-2.88, 4 Be 2.62-2.82, 4 Ta 2.77-2.88

Results
symmetry = P2/m (10)
ΔE_f (raw) = -42 kJ/mol of formula units
calculated total energy = -8.32 eV/atom
distance to the lowest polymorph of the same formula = 1.832 eV/f.u.
volume = 58.87 Å³ per cell

=====

(9)
DFT (PBE) results for a geometry-optimized PuMgGa3 structure.

a b c (Å): 4.4715 3.3365 13.5571
angles (deg): 97.07 90.00 90.00
With the nearest neighbours (Å) after each atom.
Sites, in units of the cell vectors:
Pu1 0.2500 0.0754 0.1508  12 Ga 3.10-3.26, 2 Pu 3.34
Pu2 0.7500 0.9246 0.8492  12 Ga 3.10-3.26, 2 Pu 3.34
Mg1 0.2500 0.7837 0.5674  7 Ga 2.80-2.96
Mg2 0.7500 0.2163 0.4326  7 Ga 2.80-2.96
Ga1 0.2500 0.3741 0.7482  3 Ga 2.66-2.72, 2 Mg 2.95
Ga2 0.7500 0.6259 0.2518  3 Ga 2.66-2.72, 2 Mg 2.95
Ga3 0.2500 0.4753 0.9506  3 Ga 2.60-2.72
Ga4 0.7500 0.5247 0.0494  3 Ga 2.60-2.72
Ga5 0.7500 0.3204 0.6409  2 Ga 2.66, 5 Mg 2.80-2.96
Ga6 0.2500 0.6796 0.3591  2 Ga 2.66, 5 Mg 2.80-2.96

Results
symmetry = Cmcm (63)
calculated total energy = -5.29 eV/atom
DFT formation energy = -285 meV per atom
volume = 200.72 Å³ per cell

=====

(10)
DFT (PBE) results for a geometry-optimized La4TlZn structure.

a b c (Å): 6.5111 6.5111 6.5111
angles (deg): 60.00 60.00 60.00
With the nearest neighbours (Å) after each atom.
Sites, in units of the cell vectors:
La1 0.8725 0.3758 0.3758  6 La 3.23-3.28
La2 0.3758 0.3758 0.8725  6 La 3.23-3.28
La3 0.3758 0.8725 0.3758  6 La 3.23-3.28
La4 0.3758 0.3758 0.3758  6 La 3.23-3.28
Tl1 0.7500 0.7500 0.7500  12 La 3.82, 4 Zn 3.99
Zn1 0.0000 0.0000 0.0000  12 La 3.82, 4 Tl 3.99

Results
symmetry = F-43m (216)
calculated total energy = -3.65 eV/atom
distance to the lowest polymorph of the same formula = 2.864 eV/f.u.
DFT formation energy = 246 meV per atom
volume = 195.18 Å³ per cell